Entry 1:
Here is crystalline Ho2TiAl3 at its relaxed geometry from the Alexandria database. Energies are from GGA-PBE.

a = 5.651 Å, b = 5.651 Å, c = 5.556 Å
α = 89.99°, β = 120.58°, γ = 120.00°
Sites, in units of the cell vectors:
Al 0.500 0.500 0.500
Al 0.500 0.000 0.500
Ho 0.256 0.628 0.884
Ho 0.744 0.372 0.116
Ti 0.000 0.000 0.000
Al 0.000 0.000 0.500

Properties
Formation energy from the elements = -0.443 eV/atom
VASP energy = -5.16 eV per atom
DOS at the Fermi energy = 3.52 states/eV per cell

=====

Entry 2:
Here is crystalline HoTi2Al5 at its relaxed geometry from the Alexandria database. Energies are from GGA-PBE.

a = 3.906 Å, b = 7.238 Å, c = 7.238 Å
α = 51.17°, β = 74.34°, γ = 74.34°
Sites, in units of the cell vectors:
Ho 0.000 0.000 0.000
Ti 0.776 0.724 0.724
Ti 0.224 0.276 0.276
Al 0.614 0.169 0.602
Al 0.000 0.500 0.500
Al 0.614 0.602 0.169
Al 0.386 0.831 0.398
Al 0.386 0.398 0.831

Properties
Formation energy from the elements = -0.227 eV/atom
VASP energy = -5.11 eV per atom
DOS at the Fermi energy = 6.05 states/eV per cell

=====

Entry 3:
Here is crystalline HoTmTiAl at its relaxed geometry from the Alexandria database. Energies are from GGA-PBE.

a = 5.100 Å, b = 5.100 Å, c = 5.100 Å
α = 60.00°, β = 60.00°, γ = 60.00°
Each line ends with the local moment (μB).
Sites, in units of the cell vectors:
Tm 0.000 0.000 0.000  0.34
Ti 0.250 0.250 0.250  1.55
Al 0.750 0.750 0.750  -0.02
Ho 0.500 0.500 0.500  0.32

Properties
Formation energy from the elements = -0.059 eV/atom
VASP energy = -5.23 eV per atom
DOS at the Fermi energy = 5.07 states/eV per cell

=====

Entry 4:
Here is crystalline HoAlTl2 at its relaxed geometry from the Alexandria database. Energies are from GGA-PBE.

a = 4.590 Å, b = 4.616 Å, c = 4.616 Å
α = 90.00°, β = 90.00°, γ = 90.00°
Sites, in units of the cell vectors:
Ho 0.500 0.500 0.500
Al 0.500 0.000 0.000
Tl 0.000 0.000 0.500
Tl 0.000 0.500 0.000

Properties
Formation energy from the elements = -0.186 eV/atom
VASP energy = -3.45 eV per atom
DOS at the Fermi energy = 1.71 states/eV per cell
Energy relative to the lowest polymorph listed for this composition = 0.0 kJ per mole of atoms

=====

Entry 5:
Here is crystalline Ho7AlTl4 at its relaxed geometry from the Alexandria database. Energies are from GGA-PBE.

a = 5.602 Å, b = 9.247 Å, c = 7.797 Å
α = 80.95°, β = 68.95°, γ = 72.37°
Sites, in units of the cell vectors:
Ho 0.929 0.315 0.827
Ho 0.071 0.685 0.173
Tl 0.711 0.659 0.919
Ho 0.500 0.000 0.000
Ho 0.786 0.871 0.558
Tl 0.431 0.776 0.362
Tl 0.289 0.341 0.081
Al 0.000 0.000 0.000
Ho 0.656 0.413 0.275
Ho 0.214 0.129 0.442
Ho 0.344 0.587 0.725
Tl 0.569 0.224 0.638

Properties
Formation energy from the elements = -0.034 eV/atom
VASP energy = -3.80 eV per atom
DOS at the Fermi energy = 13.21 states/eV per cell

=====

Entry 6:
Here is crystalline Ho2AlTl at its relaxed geometry from the Alexandria database. Energies are from GGA-PBE.

a = 3.604 Å, b = 3.604 Å, c = 7.753 Å
α = 90.00°, β = 90.00°, γ = 90.00°
Sites, in units of the cell vectors:
Ho 0.000 0.000 0.765
Al 0.500 0.500 0.000
Ho 0.000 0.000 0.235
Tl 0.500 0.500 0.500

Properties
Formation energy from the elements = -0.353 eV/atom
VASP energy = -4.17 eV per atom
DOS at the Fermi energy = 1.54 states/eV per cell

=====

Entry 7:
Here is crystalline Ho4AlTl at its relaxed geometry from the Alexandria database. Energies are from GGA-PBE.

a = 3.493 Å, b = 7.168 Å, c = 8.724 Å
α = 121.78°, β = 78.45°, γ = 75.90°
Sites, in units of the cell vectors:
Ho 0.834 0.511 0.820
Tl 0.000 0.000 0.000
Ho 0.166 0.489 0.180
Ho 0.319 0.029 0.333
Al 0.500 0.500 0.500
Ho 0.681 0.971 0.667

Properties
Formation energy from the elements = -0.227 eV/atom
VASP energy = -4.30 eV per atom
DOS at the Fermi energy = 5.99 states/eV per cell
Energy relative to the lowest polymorph listed for this composition = 0.0 kJ per mole of atoms

=====

Entry 8:
Here is crystalline Ho5AlTl3 at its relaxed geometry from the Alexandria database. Energies are from GGA-PBE.

a = 6.605 Å, b = 9.202 Å, c = 9.202 Å
α = 120.00°, β = 90.00°, γ = 90.00°
Sites, in units of the cell vectors:
Ho 0.500 0.667 0.333
Tl 0.750 0.622 0.000
Ho 0.750 0.724 0.724
Ho 0.750 0.000 0.276
Ho 0.000 0.333 0.667
Al 0.000 0.000 0.000
Ho 0.250 0.276 0.276
Tl 0.250 0.622 0.622
Tl 0.750 0.378 0.378
Ho 0.500 0.333 0.667
Ho 0.750 0.276 0.000
Ho 0.000 0.667 0.333
Tl 0.250 0.378 0.000
Tl 0.750 0.000 0.622
Tl 0.250 0.000 0.378
Ho 0.250 0.000 0.724
Al 0.500 0.000 0.000
Ho 0.250 0.724 0.000

Properties
Formation energy from the elements = -0.336 eV/atom
VASP energy = -4.08 eV per atom
DOS at the Fermi energy = 12.74 states/eV per cell

=====

Entry 9:
Here is crystalline HoAlTl2 at its relaxed geometry from the Alexandria database. Energies are from GGA-PBE.

a = 4.714 Å, b = 4.714 Å, c = 5.963 Å
α = 66.72°, β = 66.72°, γ = 60.00°
Sites, in units of the cell vectors:
Tl 0.262 0.262 0.213
Al 0.000 0.000 0.000
Ho 0.500 0.500 0.500
Tl 0.738 0.738 0.787

Properties
Formation energy from the elements = -0.031 eV/atom
VASP energy = -3.29 eV per atom
DOS at the Fermi energy = 1.21 states/eV per cell
Energy relative to the lowest polymorph listed for this composition = 14.9 kJ per mole of atoms

=====

Entry 10:
Here is crystalline HoAl4Tl at its relaxed geometry from the Alexandria database. Energies are from GGA-PBE.

a = 5.601 Å, b = 5.601 Å, c = 5.601 Å
α = 60.00°, β = 60.00°, γ = 60.00°
Sites, in units of the cell vectors:
Ho 0.000 0.000 0.000
Al 0.626 0.626 0.626
Al 0.123 0.626 0.626
Al 0.626 0.626 0.123
Tl 0.250 0.250 0.250
Al 0.626 0.123 0.626

Properties
Formation energy from the elements = -0.126 eV/atom
VASP energy = -3.78 eV per atom
DOS at the Fermi energy = 3.68 states/eV per cell

=====

Entry 11:
Here is crystalline Ho2AlTl at its relaxed geometry from the Alexandria database. Energies are from GGA-PBE.

a = 3.634 Å, b = 3.634 Å, c = 9.648 Å
α = 79.14°, β = 79.14°, γ = 60.00°
Sites, in units of the cell vectors:
Al 0.000 0.000 0.000
Ho 0.255 0.255 0.235
Tl 0.500 0.500 0.500
Ho 0.745 0.745 0.765

Properties
Formation energy from the elements = -0.218 eV/atom
VASP energy = -4.03 eV per atom
DOS at the Fermi energy = 3.56 states/eV per cell

=====

Entry 12:
Here is crystalline Ho4AlTl at its relaxed geometry from the Alexandria database. Energies are from GGA-PBE.

a = 5.083 Å, b = 5.084 Å, c = 7.221 Å
α = 89.99°, β = 89.99°, γ = 90.00°
Sites, in units of the cell vectors:
Ho 0.001 0.497 0.738
Ho 0.501 0.997 0.738
Tl 0.501 0.497 0.998
Ho 0.501 0.997 0.258
Al 0.001 0.997 0.498
Ho 0.001 0.497 0.258

Properties
Formation energy from the elements = -0.035 eV/atom
VASP energy = -4.11 eV per atom
DOS at the Fermi energy = 7.98 states/eV per cell
Energy relative to the lowest polymorph listed for this composition = 18.5 kJ per mole of atoms